1.
Computed, not measured: CaAcB12 after structural relaxation at the GGA-PBE level of DFT.

For the energy relative to the elements, the calculation gives -0.48 eV/atom. The value obtained for the magnetization is 0.00 μB per formula unit.

Unit cell a=5.9089 b=5.9089 c=5.9089 alpha=60.00 beta=60.00 gamma=60.00
Last column: nearest neighbours and their distance in Å.
Atoms (fractional coordinates):
Ca1 0.0000 0.0000 0.0000  24 B 3.07
Ac1 0.5000 0.5000 0.5000  24 B 3.07
B1 0.1006 0.1006 0.3994  5 B 1.68-1.77
B2 0.1006 0.3994 0.1006  5 B 1.68-1.77
B3 0.1006 0.3994 0.3994  5 B 1.68-1.77
B4 0.3994 0.1006 0.1006  5 B 1.68-1.77
B5 0.3994 0.1006 0.3994  5 B 1.68-1.77
B6 0.3994 0.3994 0.1006  5 B 1.68-1.77
B7 0.6006 0.6006 0.8994  5 B 1.68-1.77
B8 0.6006 0.8994 0.6006  5 B 1.68-1.77
B9 0.6006 0.8994 0.8994  5 B 1.68-1.77
B10 0.8994 0.6006 0.6006  5 B 1.68-1.77
B11 0.8994 0.6006 0.8994  5 B 1.68-1.77
B12 0.8994 0.8994 0.6006  5 B 1.68-1.77

---

2.
Computed, not measured: PmYHo after structural relaxation at the GGA-PBE level of DFT.

Its polymorph energy (0 for the lowest one) is 198 meV per atom. For the energy relative to the elements, the calculation gives 0.21 eV/atom. The value obtained for the magnetization is 0.00 μB per formula unit.

Unit cell a=4.8490 b=4.8490 c=8.6897 alpha=90.00 beta=90.00 gamma=90.00
Last column: nearest neighbours and their distance in Å.
Atoms (fractional coordinates):
Pm1 0.2500 0.2500 0.2007  5 Y 3.43-3.46, 4 Ho 3.56
Pm2 0.7500 0.7500 0.7993  5 Y 3.43-3.46, 4 Ho 3.56
Y1 0.2500 0.2500 0.8020  5 Pm 3.43-3.46, 4 Ho 3.57
Y2 0.7500 0.7500 0.1980  5 Pm 3.43-3.46, 4 Ho 3.57
Ho1 0.2500 0.7500 0.5000  4 Ho 3.43, 4 Pm 3.56, 4 Y 3.57
Ho2 0.7500 0.2500 0.5000  4 Ho 3.43, 4 Pm 3.56, 4 Y 3.57

---

3.
Computed, not measured: SmDy3 after structural relaxation at the GGA-PBE level of DFT.

Its polymorph energy (0 for the lowest one) is 7 meV per atom. For the energy relative to the elements, the calculation gives 0.02 eV/atom. The value obtained for the magnetization is 0.00 μB per formula unit.

Unit cell a=5.0373 b=5.0373 c=5.0373 alpha=90.00 beta=90.00 gamma=90.00
Last column: nearest neighbours and their distance in Å.
Atoms (fractional coordinates):
Sm1 0.0000 0.0000 0.0000  12 Dy 3.56
Dy1 0.0000 0.5000 0.5000  8 Dy 3.56, 4 Sm 3.56
Dy2 0.5000 0.0000 0.5000  8 Dy 3.56, 4 Sm 3.56
Dy3 0.5000 0.5000 0.0000  8 Dy 3.56, 4 Sm 3.56

---

4.
Computed, not measured: Ta2Pb3 after structural relaxation at the GGA-PBE level of DFT.

Its polymorph energy (0 for the lowest one) is 0 meV per atom. For the energy relative to the elements, the calculation gives 0.55 eV/atom. The value obtained for the magnetization is 0.00 μB per formula unit.

Unit cell a=14.0658 b=14.0658 c=14.0658 alpha=13.07 beta=13.07 gamma=13.07
Last column: nearest neighbours and their distance in Å.
Atoms (fractional coordinates):
Ta1 0.1087 0.1087 0.1087  6 Pb 3.05-3.19, 6 Ta 3.20
Ta2 0.8913 0.8913 0.8913  6 Pb 3.05-3.19, 6 Ta 3.20
Pb1 0.2867 0.2867 0.2867  3 Ta 3.19, 6 Pb 3.20
Pb2 0.5000 0.5000 0.5000  6 Ta 3.05, 6 Pb 3.20
Pb3 0.7133 0.7133 0.7133  3 Ta 3.19, 6 Pb 3.20